# 1
A relaxed structure of TaCd2Os, computed with PBE.

abc: 6.086 6.086 6.086
angles: 101.01 101.01 128.16
Sites, in units of the cell vectors:
1 Ta 0.000 0.000 0.000
2 Ta 0.750 0.250 0.500
3 Cd 0.143 0.625 0.018
4 Cd 0.375 0.393 0.518
5 Cd 0.607 0.125 0.982
6 Cd 0.875 0.857 0.482
7 Os 0.250 0.750 0.500
8 Os 0.500 0.500 0.000

Calculated values
As for the space group: No. 122. As for the relative energy among the computed polymorphs: 3.689 eV per formula unit. The calculation puts the total magnetization at 0.76 μB per cell. The mass density is 12.4 g/cm³. The formation energy comes out at 1037 meV per atom.

***

# 2
A relaxed structure of DyZrZnCd, computed with PBE.

abc: 5.017 5.017 5.017
angles: 60.00 60.00 60.00
Sites, in units of the cell vectors:
1 Dy 0.000 0.000 0.000
2 Zr 0.500 0.500 0.500
3 Zn 0.750 0.750 0.750
4 Cd 0.250 0.250 0.250

Calculated values
As for the space group: No. 216. As for the relative energy among the computed polymorphs: 0.230 eV per formula unit. The calculation puts the total magnetization at 0.50 μB per cell. The mass density is 8.0 g/cm³. The formation energy comes out at -162 meV per atom.

***

# 3
A relaxed structure of PrHo6Er5, computed with PBE.

abc: 6.111 6.111 11.711
angles: 94.98 94.98 119.95
Sites, in units of the cell vectors:
1 Pr 0.000 0.000 0.000
2 Ho 0.084 0.418 0.252
3 Ho 0.251 0.251 0.748
4 Ho 0.418 0.084 0.252
5 Ho 0.582 0.916 0.748
6 Ho 0.749 0.749 0.252
7 Ho 0.916 0.582 0.748
8 Er 0.167 0.833 0.500
9 Er 0.333 0.667 0.000
10 Er 0.500 0.500 0.500
11 Er 0.667 0.333 0.000
12 Er 0.833 0.167 0.500

Calculated values
As for the space group: No. 12. The calculation puts the total magnetization at 0.00 μB per cell. The mass density is 8.8 g/cm³. The formation energy comes out at 21 meV per atom.

***

# 4
A relaxed structure of Rb2CdHgBr6, computed with PBE.

abc: 7.377 7.781 8.172
angles: 94.30 115.47 115.82
Sites, in units of the cell vectors:
1 Rb 0.027 0.279 0.288
2 Rb 0.973 0.721 0.712
3 Cd 0.500 0.000 0.500
4 Hg 0.500 0.500 0.000
5 Br 0.027 0.828 0.310
6 Br 0.364 0.690 0.140
7 Br 0.466 0.721 0.690
8 Br 0.534 0.279 0.310
9 Br 0.636 0.310 0.860
10 Br 0.973 0.172 0.690

Calculated values
As for the space group: No. 2. The calculation puts the total magnetization at 0.00 μB per cell. The mass density is 4.4 g/cm³. Its energy relative to the elements, uncorrected is -10.80 eV per formula unit.

***

# 5
A relaxed structure of Ca3HfP, computed with PBE.

abc: 5.483 5.483 5.483
angles: 90.00 90.00 90.00
Sites, in units of the cell vectors:
1 Ca 0.000 0.000 0.500
2 Ca 0.000 0.500 0.000
3 Ca 0.500 0.000 0.000
4 Hf 0.500 0.500 0.500
5 P 0.000 0.000 0.000

Calculated values
As for the space group: No. 221. As for the relative energy among the computed polymorphs: 0.000 eV per formula unit. The calculation puts the total magnetization at 3.39 μB per cell. The mass density is 3.3 g/cm³. The formation energy comes out at 131 meV per atom.

***

# 6
A relaxed structure of Ce2Al5Ir3, computed with PBE.

abc: 12.731 12.731 6.873
angles: 90.00 90.00 160.79
Sites, in units of the cell vectors:
1 Ce 0.023 0.977 0.500
2 Ce 0.325 0.675 0.428
3 Ce 0.675 0.325 0.928
4 Ce 0.977 0.023 0.000
5 Al 0.100 0.900 0.123
6 Al 0.206 0.794 0.609
7 Al 0.211 0.789 0.219
8 Al 0.371 0.629 0.965
9 Al 0.444 0.556 0.336
10 Al 0.556 0.444 0.836
11 Al 0.629 0.371 0.465
12 Al 0.789 0.211 0.719
13 Al 0.794 0.206 0.109
14 Al 0.900 0.100 0.623
15 Ir 0.108 0.892 0.739
16 Ir 0.270 0.730 0.913
17 Ir 0.452 0.548 0.717
18 Ir 0.548 0.452 0.217
19 Ir 0.730 0.270 0.413
20 Ir 0.892 0.108 0.239

Calculated values
As for the space group: No. 36. The calculation puts the total magnetization at 0.00 μB per cell. The mass density is 9.0 g/cm³. The formation energy comes out at -813 meV per atom.

***

# 7
A relaxed structure of Ho2Zn16Ag, computed with PBE.

abc: 6.799 6.799 6.799
angles: 82.68 82.68 82.68
Sites, in units of the cell vectors:
1 Ho 0.000 0.000 0.000
2 Ho 0.326 0.326 0.326
3 Zn 0.017 0.017 0.499
4 Zn 0.017 0.499 0.017
5 Zn 0.160 0.664 0.664
6 Zn 0.310 0.310 0.824
7 Zn 0.310 0.824 0.310
8 Zn 0.365 0.662 0.961
9 Zn 0.365 0.961 0.662
10 Zn 0.499 0.017 0.017
11 Zn 0.662 0.365 0.961
12 Zn 0.662 0.961 0.365
13 Zn 0.664 0.160 0.664
14 Zn 0.664 0.664 0.160
15 Zn 0.769 0.769 0.769
16 Zn 0.824 0.310 0.310
17 Zn 0.961 0.365 0.662
18 Zn 0.961 0.662 0.365
19 Ag 0.564 0.564 0.564

Calculated values
As for the space group: No. 160. The calculation puts the total magnetization at 0.00 μB per cell. The mass density is 8.0 g/cm³. The formation energy comes out at -226 meV per atom.

***

# 8
A relaxed structure of ReSeBr, computed with PBE.

abc: 7.675 7.675 7.675
angles: 155.88 155.88 34.37
Sites, in units of the cell vectors:
1 Re 0.000 0.000 0.000
2 Se 0.422 0.422 0.000
3 Br 0.164 0.164 0.000

Calculated values
As for the space group: No. 107. As for the relative energy among the computed polymorphs: 0.620 eV per formula unit. The calculation puts the total magnetization at 0.24 μB per cell. The mass density is 7.6 g/cm³. Its energy relative to the elements, uncorrected is 0.97 eV per formula unit.

***

# 9
A relaxed structure of ZrMnAl, computed with PBE.

abc: 4.527 4.527 4.527
angles: 60.00 60.00 60.00
Sites, in units of the cell vectors:
1 Zr 0.000 0.000 0.000
2 Mn 0.250 0.250 0.250
3 Al 0.750 0.750 0.750

Calculated values
As for the space group: No. 216. The calculation puts the total magnetization at 3.28 μB per cell. The mass density is 4.4 g/cm³. The formation energy comes out at 693 meV per atom.

***

# 10
A relaxed structure of Nd2SmTm2Sc2, computed with PBE.

abc: 5.953 5.953 11.588
angles: 107.77 107.77 33.55
Sites, in units of the cell vectors:
1 Nd 0.174 0.174 0.090
2 Nd 0.826 0.826 0.910
3 Sm 0.500 0.500 0.500
4 Tm 0.044 0.044 0.768
5 Tm 0.956 0.956 0.232
6 Sc 0.272 0.272 0.631
7 Sc 0.728 0.728 0.369

Calculated values
As for the space group: No. 12. The calculation puts the total magnetization at 0.00 μB per cell. The mass density is 6.7 g/cm³. The formation energy comes out at 110 meV per atom.

***

# 11
A relaxed structure of Sc3Tl3CrSe8, computed with PBE.

abc: 8.912 8.912 8.912
angles: 51.67 51.67 51.67
Sites, in units of the cell vectors:
1 Sc 0.000 0.500 0.500
2 Sc 0.500 0.000 0.500
3 Sc 0.500 0.500 0.000
4 Tl 0.000 0.000 0.500
5 Tl 0.000 0.500 0.000
6 Tl 0.500 0.000 0.000
7 Cr 0.000 0.000 0.000
8 Se 0.222 0.222 0.745
9 Se 0.222 0.745 0.222
10 Se 0.255 0.778 0.778
11 Se 0.267 0.267 0.267
12 Se 0.733 0.733 0.733
13 Se 0.745 0.222 0.222
14 Se 0.778 0.255 0.778
15 Se 0.778 0.778 0.255

Calculated values
As for the space group: No. 166. The calculation puts the total magnetization at 2.52 μB per cell. The mass density is 5.9 g/cm³. Its energy relative to the elements, uncorrected is -16.04 eV per formula unit.

***

# 12
A relaxed structure of Ba3In2Si2, computed with PBE.

abc: 6.835 6.835 7.855
angles: 109.60 109.60 43.65
Sites, in units of the cell vectors:
1 Ba 0.000 0.000 0.000
2 Ba 0.169 0.169 0.582
3 Ba 0.831 0.831 0.418
4 In 0.298 0.298 0.095
5 In 0.702 0.702 0.905
6 Si 0.491 0.491 0.650
7 Si 0.509 0.509 0.350

Calculated values
As for the space group: No. 12. The calculation puts the total magnetization at 0.00 μB per cell. The mass density is 4.9 g/cm³. Its energy relative to the elements, uncorrected is -2.48 eV per formula unit.

***

# 13
A relaxed structure of La3TlPd8, computed with PBE.

abc: 9.607 9.607 9.607
angles: 33.51 33.51 33.51
Sites, in units of the cell vectors:
1 La 0.000 0.000 0.000
2 La 0.129 0.129 0.129
3 La 0.613 0.613 0.613
4 Tl 0.490 0.490 0.490
5 Pd 0.058 0.561 0.561
6 Pd 0.060 0.060 0.564
7 Pd 0.060 0.564 0.060
8 Pd 0.311 0.311 0.311
9 Pd 0.561 0.058 0.561
10 Pd 0.561 0.561 0.058
11 Pd 0.564 0.060 0.060
12 Pd 0.811 0.811 0.811

Calculated values
As for the space group: No. 160. The calculation puts the total magnetization at 0.00 μB per cell. The mass density is 10.2 g/cm³. The formation energy comes out at -725 meV per atom.

***

# 14
A relaxed structure of Sc3CoCl3, computed with PBE.

abc: 7.753 3.675 10.704
angles: 90.00 91.89 90.00
Sites, in units of the cell vectors:
1 Sc 0.099 0.250 0.326
2 Sc 0.152 0.250 0.859
3 Sc 0.270 0.750 0.102
4 Sc 0.730 0.250 0.898
5 Sc 0.848 0.750 0.141
6 Sc 0.901 0.750 0.674
7 Co 0.052 0.250 0.093
8 Co 0.948 0.750 0.907
9 Cl 0.129 0.250 0.605
10 Cl 0.333 0.750 0.353
11 Cl 0.426 0.750 0.871
12 Cl 0.574 0.250 0.129
13 Cl 0.667 0.250 0.647
14 Cl 0.871 0.750 0.395

Calculated values
As for the space group: No. 11. The calculation puts the total magnetization at 0.00 μB per cell. The mass density is 3.3 g/cm³. Its energy relative to the elements, uncorrected is -9.57 eV per formula unit.

***

# 15
A relaxed structure of MoAsBr4, computed with PBE.

abc: 6.157 6.157 6.157
angles: 60.00 60.00 60.00
Sites, in units of the cell vectors:
1 Mo 0.000 0.000 0.000
2 As 0.750 0.750 0.750
3 Br 0.375 0.375 0.375
4 Br 0.375 0.375 0.876
5 Br 0.375 0.876 0.375
6 Br 0.876 0.375 0.375

Calculated values
As for the space group: No. 216. The calculation puts the total magnetization at 2.63 μB per cell. The mass density is 4.9 g/cm³. Its energy relative to the elements, uncorrected is 7.84 eV per formula unit.

***

# 16
A relaxed structure of Ba2MgAu2, computed with PBE.

abc: 9.348 9.348 4.029
angles: 90.00 90.00 90.00
Sites, in units of the cell vectors:
1 Ba 0.159 0.341 0.000
2 Ba 0.341 0.841 0.000
3 Ba 0.659 0.159 0.000
4 Ba 0.841 0.659 0.000
5 Mg 0.000 0.000 0.000
6 Mg 0.500 0.500 0.000
7 Au 0.133 0.633 0.500
8 Au 0.367 0.133 0.500
9 Au 0.633 0.867 0.500
10 Au 0.867 0.367 0.500

Calculated values
As for the space group: No. 127. As for the relative energy among the computed polymorphs: 1.276 eV per formula unit. The calculation puts the total magnetization at 0.00 μB per cell. The mass density is 6.5 g/cm³. The formation energy comes out at -338 meV per atom.

***

# 17
A relaxed structure of TbY2Mg, computed with PBE.

abc: 12.427 12.427 12.427
angles: 16.02 16.02 16.02
Sites, in units of the cell vectors:
1 Tb 0.000 0.000 0.000
2 Y 0.411 0.411 0.411
3 Y 0.589 0.589 0.589
4 Mg 0.500 0.500 0.500

Calculated values
As for the space group: No. 166. As for the relative energy among the computed polymorphs: 0.953 eV per formula unit. The calculation puts the total magnetization at 0.00 μB per cell. The mass density is 4.7 g/cm³. The formation energy comes out at 202 meV per atom.

***

# 18
A relaxed structure of Pr2Nd3Ge4, computed with PBE.

abc: 8.017 8.120 7.845
angles: 90.00 106.88 90.00
Sites, in units of the cell vectors:
1 Pr 0.201 0.182 0.086
2 Pr 0.201 0.318 0.586
3 Pr 0.799 0.682 0.414
4 Pr 0.799 0.818 0.914
5 Nd 0.243 0.677 0.256
6 Nd 0.243 0.823 0.756
7 Nd 0.500 0.000 0.500
8 Nd 0.500 0.500 0.000
9 Nd 0.757 0.177 0.244
10 Nd 0.757 0.323 0.744
11 Ge 0.082 0.532 0.873
12 Ge 0.082 0.968 0.373
13 Ge 0.489 0.128 0.871
14 Ge 0.489 0.372 0.371
15 Ge 0.511 0.628 0.629
16 Ge 0.511 0.872 0.129
17 Ge 0.918 0.032 0.627
18 Ge 0.918 0.468 0.127

Calculated values
As for the space group: No. 14. The calculation puts the total magnetization at 0.00 μB per cell. The mass density is 6.8 g/cm³. The formation energy comes out at -805 meV per atom.

***

# 19
A relaxed structure of NaScZnS3, computed with PBE.

abc: 7.804 3.809 9.704
angles: 90.00 108.74 90.00
Sites, in units of the cell vectors:
1 Na 0.195 0.250 0.177
2 Na 0.805 0.750 0.823
3 Sc 0.328 0.750 0.859
4 Sc 0.672 0.250 0.141
5 Zn 0.078 0.250 0.608
6 Zn 0.922 0.750 0.392
7 S 0.091 0.250 0.850
8 S 0.230 0.750 0.561
9 S 0.446 0.750 0.137
10 S 0.554 0.250 0.863
11 S 0.770 0.250 0.439
12 S 0.909 0.750 0.150

Calculated values
As for the space group: No. 11. The calculation puts the total magnetization at 0.00 μB per cell. The mass density is 2.8 g/cm³. Its energy relative to the elements, uncorrected is -8.08 eV per formula unit.

***

# 20
A relaxed structure of Cu2Ge2Te3, computed with PBE.

abc: 6.298 7.929 7.505
angles: 90.00 115.84 90.00
Sites, in units of the cell vectors:
1 Cu 0.065 0.133 0.443
2 Cu 0.065 0.367 0.943
3 Cu 0.935 0.633 0.057
4 Cu 0.935 0.867 0.557
5 Ge 0.337 0.679 0.619
6 Ge 0.337 0.821 0.119
7 Ge 0.663 0.179 0.881
8 Ge 0.663 0.321 0.381
9 Te 0.184 0.087 0.832
10 Te 0.184 0.413 0.332
11 Te 0.500 0.000 0.500
12 Te 0.500 0.500 0.000
13 Te 0.816 0.587 0.668
14 Te 0.816 0.913 0.168

Calculated values
As for the space group: No. 14. The calculation puts the total magnetization at 0.00 μB per cell. The mass density is 6.5 g/cm³. Its energy relative to the elements, uncorrected is 0.38 eV per formula unit.

***

# 21
A relaxed structure of BaBeHg2, computed with PBE.

abc: 4.877 4.877 4.944
angles: 90.00 90.00 90.00
Sites, in units of the cell vectors:
1 Ba 0.000 0.000 0.000
2 Be 0.500 0.500 0.000
3 Hg 0.000 0.500 0.500
4 Hg 0.500 0.000 0.500

Calculated values
As for the space group: No. 123. The calculation puts the total magnetization at 0.00 μB per cell. The mass density is 7.7 g/cm³. The formation energy comes out at 238 meV per atom.

***

# 22
A relaxed structure of Cs2HfCl6F, computed with PBE.

abc: 7.764 7.764 7.764
angles: 122.72 122.72 85.35
Sites, in units of the cell vectors:
1 Cs 0.250 0.750 0.500
2 Cs 0.750 0.250 0.500
3 Hf 0.000 0.000 0.000
4 Cl 0.216 0.216 0.000
5 Cl 0.234 0.234 0.467
6 Cl 0.234 0.766 0.000
7 Cl 0.766 0.234 0.000
8 Cl 0.766 0.766 0.533
9 Cl 0.784 0.784 0.000
10 F 0.500 0.500 0.000

Calculated values
As for the space group: No. 139. The calculation puts the total magnetization at 1.00 μB per cell. The mass density is 3.6 g/cm³. Its energy relative to the elements, uncorrected is -17.58 eV per formula unit.